1.
Below is a relaxed CaFe4Os crystal, with properties calculated at the PBE level.

Summary:
The density of states at the Fermi level comes out at 6.9 states/eV/cell. Its space group is No. 216. The total energy is -7.513 eV per atom. The value obtained for the total moment is 9.4 μB per cell.

Unit cell a=4.914 b=4.914 c=4.914 alpha=60.00 beta=60.00 gamma=60.00
Atoms (fractional coordinates):
Fe 0.872 0.376 0.376
Fe 0.376 0.872 0.376
Ca 0.000 0.000 0.000
Os 0.750 0.750 0.750
Fe 0.376 0.376 0.872
Fe 0.376 0.376 0.376

2.
Below is a relaxed CaFeOs2 crystal, with properties calculated at the PBE level.

Summary:
The density of states at the Fermi level comes out at 4.7 states/eV/cell. Its space group is No. 123. The total energy is -7.788 eV per atom. The value obtained for the total moment is 1.8 μB per cell.

Unit cell a=2.803 b=2.803 c=8.057 alpha=90.00 beta=90.00 gamma=90.00
Atoms (fractional coordinates):
Os 0.000 0.000 0.550
Fe 0.500 0.500 0.750
Os 0.000 0.000 0.950
Ca 0.500 0.500 0.250

3.
Below is a relaxed CaFeOs2 crystal, with properties calculated at the PBE level.

Summary:
The density of states at the Fermi level comes out at 3.3 states/eV/cell. Its space group is No. 99. The total energy is -7.802 eV per atom. The value obtained for the total moment is 2.8 μB per cell.

Unit cell a=2.839 b=2.839 c=8.292 alpha=90.00 beta=90.00 gamma=90.00
Atoms (fractional coordinates):
Fe 0.500 0.500 0.791
Ca 0.000 0.000 0.494
Os 0.500 0.500 0.208
Os 0.000 0.000 0.006

4.
Below is a relaxed Ca2FeOs crystal, with properties calculated at the PBE level.

Summary:
The density of states at the Fermi level comes out at 3.3 states/eV/cell. Its space group is No. 166. The total energy is -5.101 eV per atom. The value obtained for the total moment is 2.2 μB per cell.

Unit cell a=9.678 b=9.678 c=9.678 alpha=18.60 beta=18.60 gamma=18.60
Atoms (fractional coordinates):
Ca 0.003 0.003 0.003
Os 0.750 0.750 0.750
Fe 0.250 0.250 0.250
Ca 0.497 0.497 0.497

Question: Number 1 is which compound?
Answer: CaFe4Os

Question: Which formula does entry 3 have?
Answer: CaFeOs2